VASP calculation (GGA-PBE) on a relaxed structure of Cd2SbBr.

Cell and atoms, written as extended XYZ:
```
4
Lattice="-2.994 -0.352 6.522 -4.133 -5.139 2.851 6.056 2.551 -2.905" Properties=species:S:1:pos:R:3 pbc="T T T"
Cd -6.910 -5.324 9.087
Cd -3.781 -2.913 4.972
Sb -0.251 -0.273 4.151
Br -0.821 -2.666 2.316
```

## Properties
* space-group type: Immm
* raw formation energy: 5.6 kJ/mol of atoms
* E above lowest polymorph: 384 meV per atom

---

VASP calculation (GGA-PBE) on a relaxed structure of Pm2Y7Er3.

Cell and atoms, written as extended XYZ:
```
12
Lattice="-1.959 -4.583 -2.320 3.609 -3.397 3.663 -8.985 -0.329 8.238" Properties=species:S:1:pos:R:3 pbc="T T T"
Er -5.703 -0.400 5.606
Er 0.825 -3.990 0.672
Er 0.327 -3.326 6.295
Y -5.388 -2.165 8.826
Y -4.224 -3.241 3.455
Y 0.012 -1.561 3.074
Y -3.111 -5.068 6.126
Y 0.000 0.000 0.000
Y -2.213 -2.618 0.528
Y -5.122 -5.690 9.054
Pm -5.998 -3.907 6.270
Pm -1.336 -4.402 3.311
```

## Properties
* space-group type: P2/m
* energy of formation from the pure elements: 320 meV/atom
* E above lowest polymorph: 231 meV per atom

---

VASP calculation (GGA-PBE) on a relaxed structure of Li2CaLaPt.

Cell and atoms, written as extended XYZ:
```
5
Lattice="5.178 0.000 0.000 0.000 5.178 0.000 0.000 0.000 5.408" Properties=species:S:1:pos:R:3 pbc="T T T"
Li 2.589 0.000 0.000
Li 0.000 2.589 0.000
Pt 0.000 0.000 0.000
La 0.000 0.000 2.704
Ca 2.589 2.589 2.704
```

## Properties
* space-group type: P4/mmm
* energy of formation from the pure elements: -257 meV/atom

---

VASP calculation (GGA-PBE) on a relaxed structure of Te2RuSe.

Cell and atoms, written as extended XYZ:
```
4
Lattice="3.071 0.000 0.000 0.000 3.076 0.000 0.000 0.000 10.555" Properties=species:S:1:pos:R:3 pbc="T T T"
Se 1.536 1.538 6.911
Te 0.000 0.000 10.456
Te 1.536 1.538 3.502
Ru 0.000 0.000 5.519
```

## Properties
* space-group type: P4mm
* raw formation energy: 7.6 kJ/mol of atoms

---

VASP calculation (GGA-PBE) on a relaxed structure of Zr2InPt.

Cell and atoms, written as extended XYZ:
```
4
Lattice="-3.170 -3.601 -3.405 -1.366 -5.410 1.863 -0.353 5.773 1.076" Properties=species:S:1:pos:R:3 pbc="T T T"
Pt -1.980 -2.044 1.088
Zr -0.104 -0.207 -0.035
Zr -2.926 -1.228 -1.560
In -2.146 -4.265 -0.730
```

## Properties
* space-group type: Imm2
* energy of formation from the pure elements: -548 meV/atom

---

VASP calculation (GGA-PBE) on a relaxed structure of LaNdCoBr.

Cell and atoms, written as extended XYZ:
```
4
Lattice="4.015 -0.001 0.000 -2.007 3.477 0.000 -2.007 -1.159 7.927" Properties=species:S:1:pos:R:3 pbc="T T T"
Br 2.386 0.905 2.914
Nd 0.380 -0.255 5.343
La -1.628 3.223 0.443
Co -1.627 0.904 6.914
```

## Properties
* space-group type: R3m
* raw formation energy: -73.7 kJ/mol of atoms

---

VASP calculation (GGA-PBE) on a relaxed structure of SrAg2Hg.

Cell and atoms, written as extended XYZ:
```
4
Lattice="5.203 0.000 0.000 2.602 4.506 0.000 2.602 1.502 4.249" Properties=species:S:1:pos:R:3 pbc="T T T"
Ag 2.602 1.502 1.062
Ag 0.000 0.000 0.000
Sr 7.805 4.506 3.186
Hg 5.203 3.004 2.124
```

## Properties
* space-group type: F-43m
* energy of formation from the pure elements: -211 meV/atom

---

VASP calculation (GGA-PBE) on a relaxed structure of Tb2Pr3Cd.

Cell and atoms, written as extended XYZ:
```
12
Lattice="-0.102 3.549 0.245 -8.548 1.699 -2.329 -8.794 0.794 10.672" Properties=species:S:1:pos:R:3 pbc="T T T"
Pr -10.335 2.573 10.117
Pr -13.122 4.646 4.769
Pr -4.322 1.396 3.819
Pr -7.624 1.008 8.060
Pr -7.109 3.470 -1.529
Pr -9.820 5.034 0.528
Tb -7.248 3.012 5.039
Tb -10.196 3.030 3.549
Tb -12.687 4.423 8.187
Tb -4.757 1.620 0.401
Cd -7.181 3.231 1.904
Cd -10.263 2.812 6.685
```

## Properties
* space-group type: C2/m
* energy of formation from the pure elements: 34 meV/atom
* E above lowest polymorph: 122 meV per atom